Computed, not measured: a geometry-optimized BaCdIn2Pb structure at the PBE level of DFT.

Properties
Symmetry   Imm2
ΔH_f (0 K)   -32.4 kJ per mole of atoms

a b c (Å): 7.1310 7.1310 7.1310
angles (deg): 138.53 137.98 60.52
With the nearest neighbours (Å) after each atom.
Positions (direct):
Ba 0.0000 0.0000 0.0000  8 In 3.85-4.00, 4 Cd 3.87, 4 Pb 3.96-4.02
Cd 0.6164 0.6164 0.0000  3 In 2.82-3.01, 2 Pb 3.03
In 0.3876 0.3876 0.0000  1 Cd 2.82, 2 Pb 3.06, 2 In 3.07
In 0.7495 0.2495 0.5000  2 Cd 3.01, 2 In 3.07
Pb 0.2479 0.7479 0.5000  2 Cd 3.03, 2 In 3.06